Entry 1:
Compound: LiBiIr3
Source: the Alexandria database
Functional: GGA-PBE
Structure: relaxed

Cell: 5.0284 5.0284 5.0284 Å, 90.00 90.00 90.00°
Last column: nearest neighbours and their distance in Å.
Fractional coordinates of all 5 atoms:
Li (0.0000, 0.0000, 0.0000)  12 Ir 3.56
Bi (0.5000, 0.5000, 0.5000)  6 Ir 2.51
Ir (0.0000, 0.5000, 0.5000)  2 Bi 2.51
Ir (0.5000, 0.0000, 0.5000)  2 Bi 2.51
Ir (0.5000, 0.5000, 0.0000)  2 Bi 2.51

Calculated values
Total moment = 0.9 Bohr magnetons per cell
Crystal system = cubic
SG = Pm-3m (221)
Relative energy among the computed polymorphs = 984 meV/atom

=====

Entry 2:
Compound: PaAlNiAu
Source: the Alexandria database
Functional: GGA-PBE
Structure: relaxed

Cell: 4.7304 4.7304 4.7304 Å, 60.00 60.00 60.00°
Last column: nearest neighbours and their distance in Å.
Fractional coordinates of all 4 atoms:
Pa (0.0000, 0.0000, 0.0000)  4 Ni 2.90, 4 Au 2.90
Al (0.5000, 0.5000, 0.5000)  4 Ni 2.90, 4 Au 2.90
Ni (0.7500, 0.7500, 0.7500)  4 Al 2.90, 4 Pa 2.90
Au (0.2500, 0.2500, 0.2500)  4 Al 2.90, 4 Pa 2.90

Calculated values
Total moment = 0.0 Bohr magnetons per cell
Crystal system = cubic
SG = F-43m (216)

=====

Number 1: formation enthalpy at 0 K 1.785 eV per atom. Number 2: formation enthalpy at 0 K -0.338 eV per atom.